[1]
# GGA-PBE NaSbAu3, relaxed
# * space group: Pm-3m (221)
# * total energy: -11.696 eV for the cell shown
# * formation energy from raw total energies: 0.72 eV per atom
# * V: 24.10 Å³ per atom
data_NaSbAu3
_space_group_name_H-M_alt 'P 1'
_space_group_IT_number 1
_cell_length_a 4.939
_cell_length_b 4.939
_cell_length_c 4.939
_cell_angle_alpha 90.00
_cell_angle_beta 90.00
_cell_angle_gamma 90.00
loop_
_space_group_symop_operation_xyz
'x,y,z'
loop_
_atom_site_label
_atom_site_fract_x
_atom_site_fract_y
_atom_site_fract_z
Na1 0.000 0.000 0.000
Sb1 0.500 0.500 0.500
Au1 0.000 0.000 0.500
Au2 0.000 0.500 0.000
Au3 0.500 0.000 0.000

[2]
# GGA-PBE Nd2SmBe, relaxed
# * formation energy from the elements: 0.120 eV per atom
# * space group: P4/mmm (123)
# * total energy: -17.503 eV for the cell shown
# * V: 28.27 Å³ per atom
data_Nd2SmBe
_space_group_name_H-M_alt 'P 1'
_space_group_IT_number 1
_cell_length_a 3.594
_cell_length_b 3.594
_cell_length_c 8.754
_cell_angle_alpha 90.00
_cell_angle_beta 90.00
_cell_angle_gamma 90.00
loop_
_space_group_symop_operation_xyz
'x,y,z'
loop_
_atom_site_label
_atom_site_fract_x
_atom_site_fract_y
_atom_site_fract_z
Nd1 0.000 0.000 0.194
Nd2 0.000 0.000 0.806
Sm1 0.500 0.500 0.500
Be1 0.500 0.500 0.000

[3]
# GGA-PBE Fe2AgMo2, relaxed
# * formation energy from the elements: 0.279 eV per atom
# * space group: P4/mbm (127)
# * total energy: -80.084 eV for the cell shown
# * V: 14.15 Å³ per atom
data_Fe2AgMo2
_space_group_name_H-M_alt 'P 1'
_space_group_IT_number 1
_cell_length_a 7.150
_cell_length_b 7.150
_cell_length_c 2.768
_cell_angle_alpha 90.00
_cell_angle_beta 90.00
_cell_angle_gamma 90.00
loop_
_space_group_symop_operation_xyz
'x,y,z'
loop_
_atom_site_label
_atom_site_fract_x
_atom_site_fract_y
_atom_site_fract_z
Fe1 0.133 0.367 0.000
Fe2 0.367 0.867 0.000
Fe3 0.633 0.133 0.000
Fe4 0.867 0.633 0.000
Ag1 0.000 0.000 0.000
Ag2 0.500 0.500 0.000
Mo1 0.161 0.661 0.500
Mo2 0.339 0.161 0.500
Mo3 0.661 0.839 0.500
Mo4 0.839 0.339 0.500